Ce2NdPb2: relaxed, GGA-PBE.

As for the energy of formation from the pure elements: -123 kJ/mol of formula units. The total DFT energy (no corrections) comes out at -50.664 eV per cell.

It has space group C2/m (No. 12), with a = 9.5793 Å, b = 5.5294 Å, c = 6.5854 Å, α = 90.00°, β = 90.06° and γ = 90.00°. The asymmetric unit holds Ce at (0.1665, 0.0000, 0.2166), Nd at (0.0000, 0.5000, 0.5000) and Pb at (0.1668, 0.0000, 0.7175).